First-principles (PBE+U) data for a relaxed Li4FeNi5O12 crystal, as listed in Alexandria via LeMat-Bulk. Values from VASP.

Its space group is C2 (5). For the calculated volume, the calculation gives 9.57 A^3/atom. The total DFT energy (no corrections) is -109.56 eV per cell.

Geometry as Quantum ESPRESSO input:
```
&SYSTEM
  ibrav = 0, nat = 22, ntyp = 4
/
ATOMIC_SPECIES
Li 6.94 Li.upf
Fe 55.84 Fe.upf
Ni 58.69 Ni.upf
O 16.00 O.upf
ATOMIC_POSITIONS angstrom
Li 0.319 0.000 2.520
Li 1.086 1.390 7.333
Li 2.820 1.390 2.538
Li 3.587 0.000 7.351
Fe 2.499 -1.812 0.000
Ni 2.499 3.895 0.000
Ni 1.953 2.772 4.935
Ni 2.499 1.068 0.000
Ni 1.953 -0.053 4.935
Ni 1.953 -2.882 4.935
O -0.381 1.006 8.789
O 1.823 2.500 1.065
O 1.229 1.244 3.850
O 0.328 0.025 5.934
O 2.083 2.500 8.806
O 1.624 -0.334 0.980
O 1.066 -1.469 3.959
O 2.677 1.244 6.021
O 2.282 -0.334 8.890
O 4.287 1.006 1.082
O 3.578 0.025 3.937
O 2.840 -1.469 5.912
CELL_PARAMETERS angstrom
2.499 -4.267 0.000
2.499 4.267 0.000
-1.093 0.000 9.871
```